(1)
VASP calculation (PBE) on a relaxed La2ErSe3 crystal.

Calculated values
The space group is P-3m1 (164). For the calculated total energy, the calculation gives -36.3 eV per cell.

Cell lengths 4.1863, 4.1863, 10.4854 Å; angles 90.00, 90.00, 120.00 degrees
Sites, in units of the cell vectors:
Er1 0.0000 0.0000 0.5000
Se1 0.3333 0.6667 0.6482
La1 0.6667 0.3333 0.8280
Se2 0.6667 0.3333 0.3518
La2 0.3333 0.6667 0.1720
Se3 0.0000 0.0000 0.0000



(2)
VASP calculation (PBE) on a relaxed NaTbNiTe3 crystal.

Calculated values
The space group is P2_1/m (11). For the calculated total energy, the calculation gives -51.9 eV per cell. The value obtained for the distance to the lowest polymorph of the same formula is 0.0000 eV per atom.

Cell lengths 8.8926, 4.2078, 10.0084 Å; angles 90.00, 106.98, 90.00 degrees
Sites, in units of the cell vectors:
Te1 0.5733 0.2500 0.3557
Ni1 0.5981 0.2500 0.1080
Tb1 0.8205 0.7500 0.3509
Na1 0.7084 0.2500 0.7516
Te2 0.3066 0.2500 0.9786
Te3 0.6934 0.7500 0.0214
Te4 0.4267 0.7500 0.6443
Te5 0.0647 0.2500 0.3280
Te6 0.9353 0.7500 0.6720
Na2 0.2916 0.7500 0.2484
Ni2 0.4019 0.7500 0.8920
Tb2 0.1795 0.2500 0.6491